*w*
The following is a PBE calculation of a relaxed CaLa2Sc crystal, from Alexandria.

Lattice parameters (Å, degrees): 9.0656 9.0656 7.2447 51.27 51.27 90.00
With the nearest neighbours (Å) after each atom.
Fractional coordinates of all 8 atoms:
Sc  0.0000  0.0000  0.0000  4 La 3.17, 2 Ca 3.38
Sc  0.7500  0.2500  0.5000  4 La 3.17, 2 Ca 3.38
Ca  0.5000  0.5000  0.0000  2 Sc 3.38, 4 La 3.46
Ca  0.2500  0.7500  0.5000  2 Sc 3.38, 4 La 3.46
La  0.6483  0.1250  0.2500  2 Sc 3.17, 2 La 3.40, 2 Ca 3.46
La  0.1017  0.6250  0.2500  2 Sc 3.17, 2 La 3.40, 2 Ca 3.46
La  0.3750  0.3517  0.7500  2 Sc 3.17, 2 La 3.40, 2 Ca 3.46
La  0.8750  0.8983  0.7500  2 Sc 3.17, 2 La 3.40, 2 Ca 3.46

Results
* V: 34.68 Å³ per atom
* Fermi-level density of states: 1.87 states/eV/atom
* magnetic moment: 0.000 μB per cell

*x*
The following is a PBE calculation of a relaxed CaLa2Sc crystal, from Alexandria.

Lattice parameters (Å, degrees): 6.2538 6.2538 6.3874 80.57 80.57 33.60
With the nearest neighbours (Å) after each atom.
Fractional coordinates of all 4 atoms:
Sc  0.7500  0.7500  0.7500  6 La 3.50-3.66, 2 Sc 3.61, 4 Ca 3.67
Ca  0.2500  0.2500  0.2500  6 La 3.60-3.75, 2 Ca 3.61, 4 Sc 3.67
La  0.0096  0.0096  0.9801  6 La 3.49-3.86, 3 Sc 3.50-3.66, 3 Ca 3.60-3.75
La  0.4904  0.4904  0.5199  6 La 3.49-3.86, 3 Sc 3.50-3.66, 3 Ca 3.60-3.75

Results
* V: 34.05 Å³ per atom
* Fermi-level density of states: 1.06 states/eV/atom
* magnetic moment: 0.000 μB per cell

*y*
The following is a PBE calculation of a relaxed CaLa2Sc crystal, from Alexandria.

Lattice parameters (Å, degrees): 5.7777 3.5377 6.8807 78.74 90.00 90.00
With the nearest neighbours (Å) after each atom.
Fractional coordinates of all 4 atoms:
Sc  0.5000  0.2500  0.2500  4 La 3.39, 2 Sc 3.54, 2 Ca 3.55
Ca  0.5000  0.7500  0.7500  2 Ca 3.54, 2 Sc 3.55, 4 La 3.75
La  0.0000  0.0420  0.0364  4 La 3.25-3.54, 2 Sc 3.39
La  0.0000  0.4580  0.4636  4 La 3.25-3.54, 2 Sc 3.39

Results
* V: 34.48 Å³ per atom
* Fermi-level density of states: 1.31 states/eV/atom
* magnetic moment: 0.000 μB per cell

Question: of the structures shown, which is the most stable? Reply: *x*.